1.
A plane-wave DFT calculation with SCAN was carried out for a PBEsol-optimized structure of KCdSe.

Results
Magnetization: 0.66 μB/f.u.
Relative energy among the computed polymorphs: 0.103 eV/atom
Raw formation energy: -0.535 eV/atom

abc: 3.888 3.888 11.323
angles: 90.00 90.00 90.00
Space group I4mm (No. 107)
One atom of each set of equivalent atoms:
K 0.000 0.000 0.000 [2 per cell]
Cd 0.000 0.000 0.284 [2 per cell]
Se 0.000 0.000 0.706 [2 per cell]

---

2.
A plane-wave DFT calculation with SCAN was carried out for a PBEsol-optimized structure of K2TlCdSe.

Results
Magnetization: 0.00 μB/f.u.
Raw formation energy: -0.017 eV/atom

abc: 6.212 6.212 5.268
angles: 90.00 90.00 90.00
Space group P4/mmm (No. 123)
One atom of each set of equivalent atoms:
K 0.000 0.500 0.000 [2 per cell]
Tl 0.000 0.000 0.000 [1 per cell]
Cd 0.000 0.000 0.500 [1 per cell]
Se 0.500 0.500 0.500 [1 per cell]

---

3.
A plane-wave DFT calculation with SCAN was carried out for a PBEsol-optimized structure of KTl2CdSe.

Results
Magnetization: 0.00 μB/f.u.
Raw formation energy: 0.382 eV/atom

abc: 6.037 6.037 5.540
angles: 90.00 90.00 90.00
Space group P4/mmm (No. 123)
One atom of each set of equivalent atoms:
K 0.000 0.000 0.000 [1 per cell]
Tl 0.000 0.500 0.000 [2 per cell]
Cd 0.500 0.500 0.500 [1 per cell]
Se 0.000 0.000 0.500 [1 per cell]

---

4.
A plane-wave DFT calculation with SCAN was carried out for a PBEsol-optimized structure of KCd3Si.

Results
Magnetization: 0.00 μB/f.u.
Raw formation energy: 0.243 eV/atom

abc: 5.212 5.212 5.212
angles: 90.00 90.00 90.00
Space group Pm-3m (No. 221)
One atom of each set of equivalent atoms:
K 0.000 0.000 0.000 [1 per cell]
Cd 0.000 0.500 0.500 [3 per cell]
Si 0.500 0.500 0.500 [1 per cell]

---

5.
A plane-wave DFT calculation with SCAN was carried out for a PBEsol-optimized structure of K2CdSi.

Results
Magnetization: 0.00 μB/f.u.
Raw formation energy: 0.341 eV/atom

abc: 3.601 5.308 6.035
angles: 90.00 90.00 90.00
Space group Pmmm (No. 47)
One atom of each set of equivalent atoms:
K 0.000 0.000 0.240 [2 per cell]
Cd 0.500 0.500 0.500 [1 per cell]
Si 0.500 0.500 0.000 [1 per cell]

---

6.
A plane-wave DFT calculation with SCAN was carried out for a PBEsol-optimized structure of K4CdSi.

Results
Magnetization: 0.00 μB/f.u.
Raw formation energy: 0.549 eV/atom

abc: 9.586 9.586 9.586
angles: 90.00 90.00 90.00
Space group F-43m (No. 216)
One atom of each set of equivalent atoms:
K 0.124 0.124 0.376 [16 per cell]
Cd 0.000 0.000 0.000 [4 per cell]
Si 0.250 0.250 0.750 [4 per cell]

---

7.
A plane-wave DFT calculation with SCAN was carried out for a PBEsol-optimized structure of K3CdSi.

Results
Magnetization: 1.00 μB/f.u.
Raw formation energy: 0.590 eV/atom

abc: 6.285 6.285 6.285
angles: 90.00 90.00 90.00
Space group Pm-3m (No. 221)
One atom of each set of equivalent atoms:
K 0.000 0.000 0.500 [3 per cell]
Cd 0.000 0.000 0.000 [1 per cell]
Si 0.500 0.500 0.500 [1 per cell]

---

8.
A plane-wave DFT calculation with SCAN was carried out for a PBEsol-optimized structure of K2CdSi.

Results
Magnetization: 0.00 μB/f.u.
Raw formation energy: 0.324 eV/atom

abc: 4.581 4.709 10.482
angles: 90.00 90.00 90.00
Space group Immm (No. 71)
One atom of each set of equivalent atoms:
K 0.000 0.000 0.250 [4 per cell]
Cd 0.000 0.500 0.000 [2 per cell]
Si 0.000 0.500 0.500 [2 per cell]